(1)
DFT (GGA-PBE) results for crystalline CaTcHg2 at its relaxed geometry.

Cell lengths 11.2247, 3.3179, 5.0749 Å; angles 90.00, 115.33, 90.00 degrees
With the nearest neighbours (Å) after each atom.
Space group Cm (No. 8)
Unique sites:
1 Ca 0.0000 0.0000 0.0000 (multiplicity 2)  7 Hg 3.00-3.20, 3 Tc 3.07-3.27, 2 Ca 3.32
2 Tc 0.2465 0.5000 0.3616 (multiplicity 2)  6 Hg 2.87-3.15, 2 Ca 3.07
3 Hg 0.2329 0.0000 0.8221 (multiplicity 2)  4 Tc 2.92-3.15, 3 Ca 3.11-3.20, 3 Hg 3.19
4 Hg 0.4705 0.0000 0.4601 (multiplicity 2)  2 Tc 2.87, 4 Ca 3.00-3.10, 3 Hg 3.19

The volume comes out at 171 Å³ per cell. The formation energy comes out at 0.315 eV/atom. The energy above the most stable polymorph in this dataset comes out at 84.0 meV/atom.

***

(2)
DFT (GGA-PBE) results for crystalline SmDy2TmMg at its relaxed geometry.

Cell lengths 6.1266, 5.5736, 9.3354 Å; angles 90.00, 108.75, 90.00 degrees
With the nearest neighbours (Å) after each atom.
Space group P2_1/m (No. 11)
Unique sites:
1 Sm 0.0370 0.2500 0.3884 (multiplicity 2)  1 Tm 3.43, 3 Mg 3.44-3.69, 6 Dy 3.46-3.71, 2 Sm 3.59
2 Dy 0.3759 0.7500 0.3953 (multiplicity 2)  5 Dy 3.44-3.58, 4 Sm 3.46-3.71, 2 Mg 3.50-3.58, 1 Tm 3.51
3 Dy 0.4500 0.2500 0.1997 (multiplicity 2)  3 Mg 3.42-3.49, 3 Dy 3.44-3.58, 2 Sm 3.46-3.52, 4 Tm 3.46-3.60
4 Tm 0.1610 0.7500 0.9991 (multiplicity 2)  2 Tm 3.42, 4 Mg 3.42-3.59, 1 Sm 3.43, 5 Dy 3.46-3.60
5 Mg 0.2295 0.2500 0.8056 (multiplicity 2)  5 Dy 3.42-3.58, 4 Tm 3.42-3.59, 3 Sm 3.44-3.69

The volume comes out at 302 Å³ per cell. The formation energy comes out at 0.017 eV/atom.

***

(3)
DFT (GGA-PBE) results for crystalline NaVBi2 at its relaxed geometry.

Cell lengths 7.3394, 7.3394, 7.3394 Å; angles 90.00, 90.00, 90.00 degrees
With the nearest neighbours (Å) after each atom.
Space group Fm-3m (No. 225)
Unique sites:
1 Na 0.0000 0.0000 0.0000 (multiplicity 4)  8 Bi 3.18
2 V 0.0000 0.0000 0.5000 (multiplicity 4)  8 Bi 3.18
3 Bi 0.2500 0.2500 0.2500 (multiplicity 8)  4 Na 3.18, 4 V 3.18

The volume comes out at 395 Å³ per cell. The formation energy comes out at 0.144 eV/atom. The energy above the most stable polymorph in this dataset comes out at 108.3 meV/atom.

***

(4)
DFT (GGA-PBE) results for crystalline TaTi4Tl at its relaxed geometry.

Cell lengths 4.6118, 4.6118, 5.8296 Å; angles 90.00, 90.00, 120.00 degrees
With the nearest neighbours (Å) after each atom.
Space group P6/mmm (No. 191)
Unique sites:
1 Ta 0.0000 0.0000 0.0000 (multiplicity 1)  2 Tl 2.91, 12 Ti 3.00
2 Ti 0.3333 0.6667 0.2362 (multiplicity 4)  4 Ti 2.66-2.75
3 Tl 0.0000 0.0000 0.5000 (multiplicity 1)  2 Ta 2.91, 12 Ti 3.07

The volume comes out at 107 Å³ per cell. The formation energy comes out at 0.117 eV/atom.